Material: CoCl6F2
Method: DFT, PBE with a Hubbard U
State: optimized geometry

The uncorrected energy comes out at -2.72 eV/atom.

It has space group P-1 (No. 2), with a = 3.1482 Å, b = 8.7454 Å, c = 8.7496 Å, α = 91.20°, β = 99.54° and γ = 99.51°. The distinct sites, in fractional coordinates, are Co at (0.0000, 0.0000, 0.0000), Cl at (0.0730, 0.7404, 0.4289), Cl at (0.0740, 0.4226, 0.7395), Cl at (0.1791, 0.1950, 0.1946) and F at (0.4998, 0.0993, 0.9008).